No. 1
A geometry-optimized Pm4Sn4Bi structure. Source: Alexandria via LeMat-Bulk, functional PBE.

extended XYZ file:
```
18
Lattice="-2.793 1.972 -5.360 -3.869 -8.959 -1.280 -7.950 2.700 5.136" Properties=species:S:1:pos:R:3 pbc="T T T"
Sn -4.233 -1.941 -1.405
Sn -9.394 -5.600 1.960
Sn -9.732 -2.803 1.143
Sn -7.598 0.963 -0.332
Sn -3.073 -0.202 0.653
Sn -6.306 -4.338 -4.977
Sn -10.452 1.566 -0.645
Sn -7.662 -4.792 -2.416
Pm -4.682 1.253 -1.810
Pm -10.627 -5.048 -1.031
Pm -5.764 0.269 2.162
Pm -5.417 -1.424 -4.302
Pm -9.493 0.288 2.222
Pm -4.423 -5.066 -2.390
Pm -11.292 -1.382 -1.226
Pm -6.753 -6.036 0.357
Bi -7.306 -2.143 -0.752
Bi 0.000 0.000 0.000
```

Output
The formation energy from the elements comes out at -0.389 eV per atom. The value obtained for the magnetic moment is 0.00 Bohr magnetons per cell. The volume is 615.9 Å³/cell. The crystal system is tetragonal.

No. 2
A geometry-optimized NaH2PdSe structure. Source: Alexandria via LeMat-Bulk, functional PBE.

extended XYZ file:
```
5
Lattice="3.746 0.000 0.000 0.000 3.746 0.000 0.000 0.000 6.038" Properties=species:S:1:pos:R:3 pbc="T T T"
Se 0.000 0.000 3.019
H 1.873 0.000 0.000
H 0.000 1.873 0.000
Na 0.000 0.000 0.000
Pd 1.873 1.873 3.019
```

Output
As for the uncorrected energy: -2.71 eV per atom. The value obtained for the magnetic moment is 1.71 Bohr magnetons per cell. The volume is 84.7 Å³/cell. The crystal system is tetragonal.

No. 3
A geometry-optimized TlAs4Os structure. Source: Alexandria via LeMat-Bulk, functional PBE.

extended XYZ file:
```
6
Lattice="0.000 3.943 3.943 3.943 0.000 3.943 3.943 3.943 0.000" Properties=species:S:1:pos:R:3 pbc="T T T"
Tl 0.000 0.000 0.000
As 2.956 2.956 2.956
As 4.929 4.929 2.956
As 2.956 4.929 4.929
As 4.929 2.956 4.929
Os 5.914 5.914 5.914
```

Output
The formation energy from the elements comes out at 0.997 eV per atom. The value obtained for the magnetic moment is 1.92 Bohr magnetons per cell. The volume is 122.6 Å³/cell. The crystal system is cubic.

No. 4
A geometry-optimized LiAcIn structure. Source: Alexandria via LeMat-Bulk, functional PBE.

extended XYZ file:
```
6
Lattice="5.143 0.000 0.000 2.572 5.784 -0.207 2.572 0.217 5.948" Properties=species:S:1:pos:R:3 pbc="T T T"
In 5.143 4.688 5.019
In 5.143 1.313 0.722
Li 7.715 3.531 4.350
Li 2.572 2.470 1.391
Ac 5.143 4.720 1.529
Ac 5.143 1.281 4.212
```

Output
The distance to the lowest polymorph of the same formula is 5 meV per atom. The formation energy from the elements comes out at -0.300 eV per atom. The value obtained for the magnetic moment is 0.00 Bohr magnetons per cell. The volume is 177.2 Å³/cell. The crystal system is monoclinic.

No. 5
A geometry-optimized Ca2ErPd3 structure. Source: Alexandria via LeMat-Bulk, functional PBE.

extended XYZ file:
```
12
Lattice="4.952 0.000 0.019 2.476 7.468 0.010 -0.028 0.000 7.070" Properties=species:S:1:pos:R:3 pbc="T T T"
Ca 4.938 4.983 3.555
Ca -0.014 0.000 3.535
Ca 2.462 2.485 3.545
Ca 0.000 0.000 0.000
Pd 4.931 2.597 5.482
Pd 4.946 2.597 1.627
Pd 2.455 0.000 5.388
Pd 2.454 4.871 5.472
Pd 2.470 4.871 1.618
Pd 2.470 0.000 1.702
Er 4.952 5.023 0.019
Er 2.476 2.445 0.010
```

Output
The formation energy from the elements comes out at -0.782 eV per atom. The value obtained for the magnetic moment is 0.00 Bohr magnetons per cell. The volume is 261.5 Å³/cell. The crystal system is orthorhombic.

No. 6
A geometry-optimized Cd2CuPd6 structure. Source: Alexandria via LeMat-Bulk, functional PBE.

extended XYZ file:
```
9
Lattice="2.817 0.000 -0.100 0.000 7.673 0.000 -1.177 -3.837 7.024" Properties=species:S:1:pos:R:3 pbc="T T T"
Cd 0.161 0.000 4.711
Cd 1.479 3.837 2.213
Pd 1.408 2.233 -0.050
Pd 0.075 6.270 2.304
Pd 1.565 2.433 4.620
Pd 1.408 5.440 -0.050
Pd 1.565 -2.433 4.620
Pd 0.075 1.404 2.304
Cu 0.000 0.000 0.000
```

Output
The formation energy from the elements comes out at -0.099 eV per atom. The value obtained for the magnetic moment is 0.00 Bohr magnetons per cell. The volume is 150.9 Å³/cell. The crystal system is monoclinic.

No. 7
A geometry-optimized Mg3AlI structure. Source: Alexandria via LeMat-Bulk, functional PBE.

extended XYZ file:
```
5
Lattice="-1.104 -4.546 -2.568 3.693 1.175 -3.668 3.690 -2.536 2.903" Properties=species:S:1:pos:R:3 pbc="T T T"
Mg 1.845 -1.268 1.452
Mg -0.552 -2.273 -1.284
Mg 1.847 0.588 -1.834
I 3.140 -2.953 -1.666
Al 0.000 0.000 0.000
```

Output
The distance to the lowest polymorph of the same formula is 0 meV per atom. The value obtained for the magnetic moment is 0.00 Bohr magnetons per cell. The value obtained for the uncorrected formation energy is 0.0111 eV/atom. The volume is 152.0 Å³/cell. The crystal system is cubic.

No. 8
A geometry-optimized AcSmEuGd structure. Source: Alexandria via LeMat-Bulk, functional PBE.

extended XYZ file:
```
4
Lattice="-0.594 2.251 5.499 -3.703 -2.590 3.903 2.204 -2.963 4.693" Properties=species:S:1:pos:R:3 pbc="T T T"
Gd 0.000 0.000 0.000
Sm -1.570 -2.477 10.571
Eu -1.047 -1.651 7.047
Ac -0.523 -0.826 3.524
```

Output
The formation energy from the elements comes out at 0.115 eV per atom. The value obtained for the magnetic moment is 15.57 Bohr magnetons per cell. The volume is 150.6 Å³/cell. The crystal system is cubic.

No. 9
A geometry-optimized AcZnSbO5 structure. Source: Alexandria via LeMat-Bulk, functional PBE.

extended XYZ file:
```
16
Lattice="-4.212 -3.134 -2.741 1.564 -2.786 4.988 -3.834 5.931 2.598" Properties=species:S:1:pos:R:3 pbc="T T T"
O -4.413 -0.032 -0.373
O -6.681 1.338 -0.248
O -3.670 -3.135 -0.788
O -2.703 1.611 2.565
O -2.070 0.043 5.217
O -2.812 3.146 5.632
O -3.780 -1.600 2.279
O 0.198 -1.327 5.093
O -1.378 -1.390 0.474
O -5.105 1.401 4.370
Sb 0.000 0.000 0.000
Sb -1.917 2.966 1.299
Zn -3.367 -1.543 0.322
Zn -3.116 1.554 4.522
Ac -1.335 -1.420 3.041
Ac -5.148 1.431 1.803
```

Output
The value obtained for the magnetic moment is 0.00 Bohr magnetons per cell. The value obtained for the uncorrected formation energy is -2.1295 eV/atom. The volume is 231.6 Å³/cell. The crystal system is monoclinic.

No. 10
A geometry-optimized TlCoAu3 structure. Source: Alexandria via LeMat-Bulk, functional PBE.

extended XYZ file:
```
5
Lattice="-2.750 3.733 1.590 0.573 -1.544 4.617 4.017 2.776 0.430" Properties=species:S:1:pos:R:3 pbc="T T T"
Tl 0.920 2.483 3.318
Co 0.000 0.000 0.000
Au 0.286 -0.772 2.308
Au 2.008 1.388 0.215
Au -1.375 1.867 0.795
```

Output
The distance to the lowest polymorph of the same formula is 0 meV per atom. The formation energy from the elements comes out at 0.495 eV per atom. The value obtained for the magnetic moment is 1.98 Bohr magnetons per cell. The volume is 117.8 Å³/cell. The crystal system is cubic.

No. 11
A geometry-optimized KTbAuS2 structure. Source: Alexandria via LeMat-Bulk, functional PBE.

extended XYZ file:
```
10
Lattice="-1.518 -1.614 4.485 -5.997 -2.840 -3.052 4.763 -6.039 -0.561" Properties=species:S:1:pos:R:3 pbc="T T T"
S -1.808 -1.470 0.764
S -2.845 -5.492 -1.034
S -0.945 -9.023 0.108
S 0.092 -5.001 1.906
K -3.109 -4.313 2.178
K 0.357 -6.180 -1.306
Tb 0.443 -2.305 2.069
Tb 2.802 -5.348 1.855
Au 0.000 0.000 0.000
Au 2.382 -3.019 -0.280
```

Output
The value obtained for the magnetic moment is 0.00 Bohr magnetons per cell. The value obtained for the uncorrected formation energy is -1.1546 eV/atom. The volume is 277.6 Å³/cell. The crystal system is monoclinic.

No. 12
A geometry-optimized LaPb2Au2 structure. Source: Alexandria via LeMat-Bulk, functional PBE.

extended XYZ file:
```
5
Lattice="4.571 0.000 0.000 0.000 4.571 0.000 2.285 2.285 6.504" Properties=species:S:1:pos:R:3 pbc="T T T"
Pb 4.571 2.285 3.252
Pb 2.285 4.571 3.252
Au 2.285 2.285 1.328
Au 4.571 4.571 5.176
La 0.000 0.000 0.000
```

Output
The formation energy from the elements comes out at -0.414 eV per atom. The value obtained for the magnetic moment is 0.00 Bohr magnetons per cell. The volume is 135.9 Å³/cell. The crystal system is tetragonal.

No. 13
A geometry-optimized MnBiAu4 structure. Source: Alexandria via LeMat-Bulk, functional PBE.

extended XYZ file:
```
6
Lattice="-1.581 2.691 -1.503 -2.888 -0.588 1.986 3.461 5.818 6.766" Properties=species:S:1:pos:R:3 pbc="T T T"
Au -2.336 3.555 0.837
Au 1.444 5.104 3.619
Au 1.327 4.366 6.412
Au -2.453 2.817 3.630
Mn 0.286 2.615 4.376
Bi -0.791 1.345 -0.751
```

Output
The distance to the lowest polymorph of the same formula is 0 meV per atom. The formation energy from the elements comes out at -0.020 eV per atom. The value obtained for the magnetic moment is 4.25 Bohr magnetons per cell. The volume is 117.8 Å³/cell. The crystal system is orthorhombic.

No. 14
A geometry-optimized LaPr4Ho2Mg structure. Source: Alexandria via LeMat-Bulk, functional PBE.

extended XYZ file:
```
8
Lattice="5.933 0.000 0.000 0.000 9.642 0.309 0.000 3.486 4.794" Properties=species:S:1:pos:R:3 pbc="T T T"
Pr 2.966 8.082 1.447
Pr 5.933 3.302 1.263
Pr 2.966 5.046 3.656
Pr 0.000 9.825 3.839
Ho 2.966 1.743 2.397
Ho 0.000 3.486 4.794
La 2.966 8.307 4.948
Mg 0.000 6.564 2.551
```

Output
The formation energy from the elements comes out at 0.061 eV per atom. The value obtained for the magnetic moment is 0.00 Bohr magnetons per cell. The volume is 267.8 Å³/cell. The crystal system is monoclinic.

No. 15
A geometry-optimized Pm2LuSb structure. Source: Alexandria via LeMat-Bulk, functional PBE.

extended XYZ file:
```
4
Lattice="-4.891 -0.265 2.428 -0.605 -2.855 4.622 -0.848 2.605 4.731" Properties=species:S:1:pos:R:3 pbc="T T T"
Pm -1.586 -0.129 2.945
Pm -4.758 -0.386 8.836
Sb 0.000 0.000 0.000
Lu -3.172 -0.257 5.891
```

Output
The distance to the lowest polymorph of the same formula is 223 meV per atom. The value obtained for the magnetic moment is 0.00 Bohr magnetons per cell. The value obtained for the uncorrected formation energy is -0.2921 eV/atom. The volume is 115.5 Å³/cell. The crystal system is cubic.

No. 16
A geometry-optimized Mg12ZnCd6 structure. Source: Alexandria via LeMat-Bulk, functional PBE.

extended XYZ file:
```
19
Lattice="-5.602 1.891 -5.345 -3.898 -3.014 6.265 3.074 6.925 2.475" Properties=species:S:1:pos:R:3 pbc="T T T"
Cd -2.680 -0.452 2.118
Cd -2.376 1.999 -1.494
Cd -3.745 6.254 1.277
Cd -6.624 2.963 1.452
Cd 0.199 2.839 1.943
Cd -4.050 3.803 4.889
Mg -3.226 -0.489 5.204
Mg -4.587 0.979 0.317
Mg -4.543 3.906 -0.473
Mg -1.606 4.417 0.082
Mg -1.838 4.823 3.078
Mg -4.819 1.384 3.313
Mg -7.041 -0.115 1.867
Mg -5.317 1.729 -2.543
Mg -3.199 6.290 -1.809
Mg -1.109 4.073 5.938
Mg -1.883 1.896 3.868
Mg 0.616 5.917 1.528
Zn 0.000 0.000 0.000
```

Output
The formation energy from the elements comes out at -0.005 eV per atom. The value obtained for the magnetic moment is 0.00 Bohr magnetons per cell. The volume is 434.2 Å³/cell. The crystal system is trigonal.

No. 17
A geometry-optimized NiSb2TeIr structure. Source: Alexandria via LeMat-Bulk, functional PBE.

extended XYZ file:
```
5
Lattice="-4.270 2.126 -0.431 -1.475 -3.542 -2.867 -1.655 -2.521 3.966" Properties=species:S:1:pos:R:3 pbc="T T T"
Sb -2.135 1.063 -0.215
Sb -0.737 -1.771 -1.433
Ni 0.000 0.000 0.000
Te -0.828 -1.260 1.983
Ir -3.700 -1.968 0.334
```

Output
The distance to the lowest polymorph of the same formula is 0 meV per atom. The value obtained for the magnetic moment is 0.00 Bohr magnetons per cell. The value obtained for the uncorrected formation energy is 0.7644 eV/atom. The volume is 114.3 Å³/cell. The crystal system is tetragonal.

No. 18
A geometry-optimized Cr structure. Source: Alexandria via LeMat-Bulk, functional PBE.

extended XYZ file:
```
1
Lattice="2.342 0.000 0.000 0.000 2.342 0.000 0.000 0.000 2.342" Properties=species:S:1:pos:R:3 pbc="T T T"
Cr 0.000 0.000 0.000
```

Output
The distance to the lowest polymorph of the same formula is 1017 meV per atom. The formation energy from the elements comes out at 1.017 eV per atom. The value obtained for the magnetic moment is 0.00 Bohr magnetons per cell. The volume is 12.8 Å³/cell. The crystal system is cubic.

No. 19
A geometry-optimized TaMn2NbPb structure. Source: Alexandria via LeMat-Bulk, functional PBE.

extended XYZ file:
```
5
Lattice="-4.478 1.108 -0.031 -1.216 -4.898 0.673 0.117 0.599 4.573" Properties=species:S:1:pos:R:3 pbc="T T T"
Mn 0.058 0.300 2.286
Mn -2.239 0.554 -0.015
Ta -2.789 -1.595 2.607
Nb -0.608 -2.449 0.336
Pb 0.000 0.000 0.000
```

Output
The formation energy from the elements comes out at 2.328 eV per atom. The value obtained for the magnetic moment is 0.13 Bohr magnetons per cell. The volume is 108.4 Å³/cell. The crystal system is tetragonal.

No. 20
A geometry-optimized MgNiAg2 structure. Source: Alexandria via LeMat-Bulk, functional PBE.

extended XYZ file:
```
4
Lattice="4.838 -0.040 0.000 1.460 4.613 0.000 -3.149 -2.287 2.875" Properties=species:S:1:pos:R:3 pbc="T T T"
Mg 0.730 2.306 1.437
Ni 2.419 -0.020 1.437
Ag 3.149 2.287 0.000
Ag 0.000 0.000 0.000
```

Output
The formation energy from the elements comes out at -0.025 eV per atom. The value obtained for the magnetic moment is 0.00 Bohr magnetons per cell. The volume is 64.3 Å³/cell. The crystal system is tetragonal.